# Dy2HoEr4 PBE relaxed
data_Dy2HoEr4
_chemical_formula_sum 'Dy2 Ho1 Er4'
_space_group_name_H-M_alt 'P 3 m 1'
_space_group_IT_number 156
_cell_length_a 3.5406
_cell_length_b 3.5406
_cell_length_c 19.7686
_cell_angle_alpha 90.00
_cell_angle_beta 90.00
_cell_angle_gamma 120.00
loop_
_space_group_symop_operation_xyz
'x,y,z'
'-y,x-y,z'
'-x+y,-x,z'
'-y,-x,z'
'-x+y,y,z'
'x,x-y,z'
loop_
_atom_site_label
_atom_site_fract_x
_atom_site_fract_y
_atom_site_fract_z
Dy1 0.0000 0.0000 0.0000
Dy2 0.0000 0.0000 0.2852
Ho1 0.0000 0.0000 0.5701
Er1 0.3333 0.6667 0.1423
Er2 0.3333 0.6667 0.8562
Er3 0.6667 0.3333 0.4284
Er4 0.6667 0.3333 0.7132
# Polymorph energy (0 for the lowest one) = 0 meV/atom

A relaxed structure of BaCoAs2. Source: the Alexandria database, functional PBE.

Structure (CIF):
```
data_BaCoAs2
_chemical_formula_sum 'Ba2 Co2 As4'
_space_group_name_H-M_alt 'C 1 m 1'
_space_group_IT_number 8
_cell_length_a 6.7747
_cell_length_b 3.9750
_cell_length_c 6.9367
_cell_angle_alpha 90.00
_cell_angle_beta 108.64
_cell_angle_gamma 90.00
loop_
_space_group_symop_operation_xyz
'x,y,z'
'x,-y,z'
'x+1/2,y+1/2,z'
'x+1/2,-y+1/2,z'
loop_
_atom_site_label
_atom_site_fract_x
_atom_site_fract_y
_atom_site_fract_z
Ba1 0.0000 0.0000 0.0000
Co1 0.1761 0.0000 0.5355
As1 0.0520 0.5000 0.6570
As2 0.2876 0.5000 0.3785
```

A relaxed structure of DyH3Ru. Source: the Alexandria database, functional PBE.

Structure (CIF):
```
data_DyH3Ru
_chemical_formula_sum 'Dy4 H12 Ru4'
_space_group_name_H-M_alt 'P 1 21/c 1'
_space_group_IT_number 14
_cell_length_a 3.7354
_cell_length_b 7.4925
_cell_length_c 7.4496
_cell_angle_alpha 90.00
_cell_angle_beta 98.37
_cell_angle_gamma 90.00
loop_
_space_group_symop_operation_xyz
'x,y,z'
'-x,-y,-z'
'-x,y+1/2,-z+1/2'
'x,-y+1/2,z+1/2'
loop_
_atom_site_label
_atom_site_fract_x
_atom_site_fract_y
_atom_site_fract_z
Dy1 0.0884 0.0357 0.2708
H1 0.0551 0.1976 0.9740
H2 0.3498 0.5832 0.0504
H3 0.4573 0.5087 0.3708
Ru1 0.4339 0.6979 0.5173
```

# Ba2YW PBE relaxed
data_Ba2YW
_chemical_formula_sum 'Ba4 Y2 W2'
_space_group_name_H-M_alt 'C 1 2/m 1'
_space_group_IT_number 12
_cell_length_a 6.7382
_cell_length_b 12.2983
_cell_length_c 3.3274
_cell_angle_alpha 90.00
_cell_angle_beta 115.60
_cell_angle_gamma 90.00
loop_
_space_group_symop_operation_xyz
'x,y,z'
'-x,-y,-z'
'-x,y,-z'
'x,-y,z'
'x+1/2,y+1/2,z'
'-x+1/2,-y+1/2,-z'
'-x+1/2,y+1/2,-z'
'x+1/2,-y+1/2,z'
loop_
_atom_site_label
_atom_site_fract_x
_atom_site_fract_y
_atom_site_fract_z
Ba1 0.2500 0.2500 0.0000
Y1 0.0000 0.0000 0.5000
W1 0.0000 0.5000 0.5000
# Polymorph energy (0 for the lowest one) = 487 meV/atom

A relaxed structure of LiEuSnBi. Source: the Alexandria database, functional PBE.

Structure (CIF):
```
data_LiEuSnBi
_chemical_formula_sum 'Li4 Eu4 Sn4 Bi4'
_space_group_name_H-M_alt 'F -4 3 m'
_space_group_IT_number 216
_space_group_name_Hall 'F -4 2 3'
_cell_length_a 7.6404
_cell_length_b 7.6404
_cell_length_c 7.6404
_cell_angle_alpha 90.00
_cell_angle_beta 90.00
_cell_angle_gamma 90.00
loop_
_atom_site_label
_atom_site_fract_x
_atom_site_fract_y
_atom_site_fract_z
Li1 0.0000 0.0000 0.0000
Eu1 0.0000 0.0000 0.5000
Sn1 0.2500 0.2500 0.7500
Bi1 0.2500 0.2500 0.2500
```

# Ca2NpO4 PBE relaxed
data_Ca2NpO4
_chemical_formula_sum 'Ca4 Np2 O8'
_space_group_name_H-M_alt 'P b a m'
_space_group_IT_number 55
_cell_length_a 5.8521
_cell_length_b 10.0552
_cell_length_c 3.4821
_cell_angle_alpha 90.00
_cell_angle_beta 90.00
_cell_angle_gamma 90.00
loop_
_space_group_symop_operation_xyz
'x,y,z'
'-x,-y,-z'
'-x,-y,z'
'x,y,-z'
'x+1/2,-y+1/2,-z'
'-x+1/2,y+1/2,z'
'-x+1/2,y+1/2,-z'
'x+1/2,-y+1/2,z'
loop_
_atom_site_label
_atom_site_fract_x
_atom_site_fract_y
_atom_site_fract_z
Ca1 0.0615 0.1778 0.0000
Np1 0.0000 0.5000 0.5000
O1 0.1472 0.6995 0.5000
O2 0.2405 0.4583 0.0000
# ΔE_f (raw) = -3001 meV per atom
# Polymorph energy (0 for the lowest one) = 0 meV/atom

A relaxed structure of CeDy4Ho6. Source: the Alexandria database, functional PBE.

Structure (CIF):
```
data_CeDy4Ho6
_chemical_formula_sum 'Ce4 Dy16 Ho24'
_space_group_name_H-M_alt 'C m c m'
_space_group_IT_number 63
_space_group_name_Hall '-C 2c 2'
_cell_length_a 5.6847
_cell_length_b 9.5449
_cell_length_c 25.5741
_cell_angle_alpha 90.00
_cell_angle_beta 90.00
_cell_angle_gamma 90.00
loop_
_atom_site_label
_atom_site_fract_x
_atom_site_fract_y
_atom_site_fract_z
Ce1 0.0000 0.1877 0.2500
Dy1 0.0000 0.1573 0.5417
Dy2 0.0000 0.4699 0.6219
Ho1 0.0000 0.1413 0.6812
Ho2 0.0000 0.1900 0.1023
Ho3 0.0000 0.4783 0.7500
Ho4 0.0000 0.5000 0.0000
```

A relaxed structure of HfZrVOs. Source: the Alexandria database, functional PBE.

Structure (CIF):
```
data_HfZrVOs
_chemical_formula_sum 'Hf4 Zr4 V4 Os4'
_space_group_name_H-M_alt 'F -4 3 m'
_space_group_IT_number 216
_space_group_name_Hall 'F -4 2 3'
_cell_length_a 6.5965
_cell_length_b 6.5965
_cell_length_c 6.5965
_cell_angle_alpha 90.00
_cell_angle_beta 90.00
_cell_angle_gamma 90.00
loop_
_atom_site_label
_atom_site_fract_x
_atom_site_fract_y
_atom_site_fract_z
Hf1 0.0000 0.0000 0.0000
Zr1 0.0000 0.0000 0.5000
V1 0.2500 0.2500 0.2500
Os1 0.2500 0.2500 0.7500
```

# CaAcTlF6 PBE relaxed
data_CaAcTlF6
_chemical_formula_sum 'Ca4 Ac4 Tl4 F24'
_space_group_name_H-M_alt 'I m m a'
_space_group_IT_number 74
_space_group_name_Hall '-I 2b 2'
_cell_length_a 7.7052
_cell_length_b 8.2159
_cell_length_c 11.4259
_cell_angle_alpha 90.00
_cell_angle_beta 90.00
_cell_angle_gamma 90.00
loop_
_atom_site_label
_atom_site_fract_x
_atom_site_fract_y
_atom_site_fract_z
Ca1 0.2500 0.2500 0.2500
Ac1 0.0000 0.0000 0.0000
Tl1 0.0000 0.2500 0.6006
F1 0.0000 0.2500 0.1451
F2 0.0000 0.2500 0.8830
F3 0.2273 0.0473 0.3829
# ΔE_f (raw) = -3480 meV per atom

# ZnMoH PBE relaxed
data_ZnMoH
_chemical_formula_sum 'Zn1 Mo1 H1'
_space_group_name_H-M_alt 'P 3 m 1'
_space_group_IT_number 156
_cell_length_a 2.9395
_cell_length_b 2.9395
_cell_length_c 4.4921
_cell_angle_alpha 90.00
_cell_angle_beta 90.00
_cell_angle_gamma 120.00
loop_
_space_group_symop_operation_xyz
'x,y,z'
'-y,x-y,z'
'-x+y,-x,z'
'-y,-x,z'
'-x+y,y,z'
'x,x-y,z'
loop_
_atom_site_label
_atom_site_fract_x
_atom_site_fract_y
_atom_site_fract_z
Zn1 0.0000 0.0000 0.0000
Mo1 0.6667 0.3333 0.4797
H1 0.3333 0.6667 0.6568
# Polymorph energy (0 for the lowest one) = 14 meV/atom

A relaxed structure of AlTlInHg2. Source: the Alexandria database, functional PBE.

Structure (CIF):
```
data_AlTlInHg2
_chemical_formula_sum 'Al1 Tl1 In1 Hg2'
_space_group_name_H-M_alt 'P 4/m m m'
_space_group_IT_number 123
_space_group_name_Hall '-P 4 2'
_cell_length_a 5.2565
_cell_length_b 5.2565
_cell_length_c 5.4669
_cell_angle_alpha 90.00
_cell_angle_beta 90.00
_cell_angle_gamma 90.00
loop_
_atom_site_label
_atom_site_fract_x
_atom_site_fract_y
_atom_site_fract_z
Al1 0.0000 0.0000 0.0000
Tl1 0.5000 0.5000 0.5000
In1 0.0000 0.0000 0.5000
Hg1 0.0000 0.5000 0.0000
```

# Ac3Pr2Nd2 PBE relaxed
data_Ac3Pr2Nd2
_chemical_formula_sum 'Ac6 Pr4 Nd4'
_space_group_name_H-M_alt 'C m m m'
_space_group_IT_number 65
_space_group_name_Hall '-C 2 2'
_cell_length_a 5.7162
_cell_length_b 25.5432
_cell_length_c 3.7824
_cell_angle_alpha 90.00
_cell_angle_beta 90.00
_cell_angle_gamma 90.00
loop_
_atom_site_label
_atom_site_fract_x
_atom_site_fract_y
_atom_site_fract_z
Ac1 0.0000 0.0000 0.0000
Ac2 0.0000 0.1497 0.0000
Pr1 0.0000 0.2858 0.5000
Nd1 0.0000 0.4275 0.5000
# Polymorph energy (0 for the lowest one) = 0 meV/atom

# Pr2TlSn3Te6 PBE relaxed
data_Pr2TlSn3Te6
_chemical_formula_sum 'Pr4 Tl2 Sn6 Te12'
_space_group_name_H-M_alt 'C 1 2/m 1'
_space_group_IT_number 12
_cell_length_a 20.0740
_cell_length_b 4.5077
_cell_length_c 9.3711
_cell_angle_alpha 90.00
_cell_angle_beta 104.53
_cell_angle_gamma 90.00
loop_
_space_group_symop_operation_xyz
'x,y,z'
'-x,-y,-z'
'-x,y,-z'
'x,-y,z'
'x+1/2,y+1/2,z'
'-x+1/2,-y+1/2,-z'
'-x+1/2,y+1/2,-z'
'x+1/2,-y+1/2,z'
loop_
_atom_site_label
_atom_site_fract_x
_atom_site_fract_y
_atom_site_fract_z
Pr1 0.1686 0.0000 0.3446
Tl1 0.0000 0.5000 0.0000
Sn1 0.0000 0.5000 0.5000
Sn2 0.1589 0.0000 0.8470
Te1 0.0047 0.0000 0.2673
Te2 0.1662 0.5000 0.5938
Te3 0.1773 0.5000 0.0976
# ΔE_f (raw) = -674 meV per atom

A relaxed structure of NaTaIr2. Source: the Alexandria database, functional PBE.

Structure (CIF):
```
data_NaTaIr2
_chemical_formula_sum 'Na4 Ta4 Ir8'
_space_group_name_H-M_alt 'I -4 2 d'
_space_group_IT_number 122
_space_group_name_Hall 'I -4 2bw'
_cell_length_a 7.2337
_cell_length_b 7.2337
_cell_length_c 5.7028
_cell_angle_alpha 90.00
_cell_angle_beta 90.00
_cell_angle_gamma 90.00
loop_
_atom_site_label
_atom_site_fract_x
_atom_site_fract_y
_atom_site_fract_z
Na1 0.0000 0.0000 0.0000
Ta1 0.0000 0.0000 0.5000
Ir1 0.2140 0.2500 0.6250
```

# CaAg3Sb PBE relaxed
data_CaAg3Sb
_chemical_formula_sum 'Ca1 Ag3 Sb1'
_space_group_name_H-M_alt 'P m -3 m'
_space_group_IT_number 221
_space_group_name_Hall '-P 4 2 3'
_cell_length_a 5.2833
_cell_length_b 5.2833
_cell_length_c 5.2833
_cell_angle_alpha 90.00
_cell_angle_beta 90.00
_cell_angle_gamma 90.00
loop_
_atom_site_label
_atom_site_fract_x
_atom_site_fract_y
_atom_site_fract_z
Ca1 0.0000 0.0000 0.0000
Ag1 0.0000 0.0000 0.5000
Sb1 0.5000 0.5000 0.5000
# ΔE_f (raw) = 854 meV per atom
# Polymorph energy (0 for the lowest one) = 673 meV/atom

A relaxed structure of CaAu. Source: the Alexandria database, functional PBE.

Structure (CIF):
```
data_CaAu
_chemical_formula_sum 'Ca4 Au4'
_space_group_name_H-M_alt 'F -4 3 m'
_space_group_IT_number 216
_space_group_name_Hall 'F -4 2 3'
_cell_length_a 6.6838
_cell_length_b 6.6838
_cell_length_c 6.6838
_cell_angle_alpha 90.00
_cell_angle_beta 90.00
_cell_angle_gamma 90.00
loop_
_atom_site_label
_atom_site_fract_x
_atom_site_fract_y
_atom_site_fract_z
Ca1 0.0000 0.0000 0.0000
Au1 0.2500 0.2500 0.7500
```

A relaxed structure of Nd2DyAg6. Source: the Alexandria database, functional PBE.

Structure (CIF):
```
data_Nd2DyAg6
_chemical_formula_sum 'Nd2 Dy1 Ag6'
_space_group_name_H-M_alt 'P 6/m m m'
_space_group_IT_number 191
_space_group_name_Hall '-P 6 2'
_cell_length_a 8.3144
_cell_length_b 8.3144
_cell_length_c 3.5196
_cell_angle_alpha 90.00
_cell_angle_beta 90.00
_cell_angle_gamma 120.00
loop_
_atom_site_label
_atom_site_fract_x
_atom_site_fract_y
_atom_site_fract_z
Nd1 0.3333 0.6667 0.0000
Dy1 0.0000 0.0000 0.0000
Ag1 0.0000 0.3312 0.5000
```

# Ba2CaLaH PBE relaxed
data_Ba2CaLaH
_chemical_formula_sum 'Ba2 Ca1 La1 H1'
_space_group_name_H-M_alt 'P 4/m m m'
_space_group_IT_number 123
_space_group_name_Hall '-P 4 2'
_cell_length_a 6.3544
_cell_length_b 6.3544
_cell_length_c 4.8125
_cell_angle_alpha 90.00
_cell_angle_beta 90.00
_cell_angle_gamma 90.00
loop_
_atom_site_label
_atom_site_fract_x
_atom_site_fract_y
_atom_site_fract_z
Ba1 0.0000 0.5000 0.0000
Ca1 0.0000 0.0000 0.5000
La1 0.5000 0.5000 0.5000
H1 0.5000 0.5000 0.0000
# Polymorph energy (0 for the lowest one) = 0 meV/atom

# KCrSi2 PBE relaxed
data_KCrSi2
_chemical_formula_sum 'K3 Cr3 Si6'
_space_group_name_H-M_alt 'R -3 m'
_space_group_IT_number 166
_space_group_name_Hall '-R 3 2"'
_cell_length_a 2.9691
_cell_length_b 2.9691
_cell_length_c 27.6369
_cell_angle_alpha 90.00
_cell_angle_beta 90.00
_cell_angle_gamma 120.00
loop_
_atom_site_label
_atom_site_fract_x
_atom_site_fract_y
_atom_site_fract_z
K1 0.0000 0.0000 0.0000
Cr1 0.0000 0.0000 0.5000
Si1 0.0000 0.0000 0.2308
# ΔE_f (raw) = 377 meV per atom
# Polymorph energy (0 for the lowest one) = 222 meV/atom

# In2FeCu PBE relaxed
data_In2FeCu
_chemical_formula_sum 'In2 Fe1 Cu1'
_space_group_name_H-M_alt 'P 1 2/m 1'
_space_group_IT_number 10
_cell_length_a 3.0784
_cell_length_b 3.3671
_cell_length_c 6.4721
_cell_angle_alpha 90.00
_cell_angle_beta 90.41
_cell_angle_gamma 90.00
loop_
_space_group_symop_operation_xyz
'x,y,z'
'-x,-y,-z'
'-x,y,-z'
'x,-y,z'
loop_
_atom_site_label
_atom_site_fract_x
_atom_site_fract_y
_atom_site_fract_z
In1 0.0004 0.0000 0.2449
Fe1 0.5000 0.5000 0.0000
Cu1 0.5000 0.5000 0.5000
# Polymorph energy (0 for the lowest one) = 33 meV/atom

| no. | total energy (hartree per atom) | Fermi-level density of states (states/eV per atom) |
| --- | --- | --- |
| 1 | -0.1680 | 1.3499 |
| 2 | -0.1862 | 0.4986 |
| 3 | -0.1887 | 0.3795 |
| 4 | -0.1684 | 1.5132 |
| 5 | -0.2010 | 0.7511 |
| 6 | -0.3034 | 1.0590 |
| 7 | -0.1677 | 2.0322 |
| 8 | -0.3668 | 0.7978 |
| 9 | -0.2083 | 0.0000 |
| 10 | -0.1856 | 0.5499 |
| 11 | -0.0640 | 0.2580 |
| 12 | -0.1634 | 1.5977 |
| 13 | -0.1558 | 0.3623 |
| 14 | -0.2711 | 0.3030 |
| 15 | -0.0765 | 0.5130 |
| 16 | -0.1074 | 1.2209 |
| 17 | -0.1368 | 0.7679 |
| 18 | -0.1055 | 0.7513 |
| 19 | -0.1843 | 1.2319 |
| 20 | -0.1568 | 0.8559 |